No. 1
An optimized crystal structure of KTl2P2S7. Source: the Alexandria database, functional PBE. Values from VASP.

Results
ΔE_f (raw)   -3.93 eV per formula unit
SG   R32, No. 155

Cell and atoms, written as Quantum ESPRESSO input:
```
&SYSTEM
  ibrav = 0, nat = 12, ntyp = 4
/
ATOMIC_SPECIES
K 39.10 K.upf
Tl 204.38 Tl.upf
P 30.97 P.upf
S 32.06 S.upf
CELL_PARAMETERS angstrom
6.304 0.000 0.000
3.152 5.460 0.000
3.152 1.820 10.206
ATOMIC_POSITIONS crystal
K 0.500 0.500 0.500
Tl 0.683 0.683 0.950
Tl 0.317 0.317 0.050
P 0.926 0.926 0.223
P 0.074 0.074 0.777
S 0.208 0.932 0.269
S 0.591 0.208 0.269
S 0.932 0.591 0.269
S 0.409 0.068 0.731
S 0.792 0.409 0.731
S 0.000 0.000 0.000
S 0.068 0.792 0.731
```



No. 2
An optimized crystal structure of K2TlP2S6. Source: the Alexandria database, functional PBE. Values from VASP.

Results
ΔE_f (raw)   -6.50 eV per formula unit
SG   R-3m, No. 166

Cell and atoms, written as Quantum ESPRESSO input:
```
&SYSTEM
  ibrav = 0, nat = 11, ntyp = 4
/
ATOMIC_SPECIES
K 39.10 K.upf
Tl 204.38 Tl.upf
P 30.97 P.upf
S 32.06 S.upf
CELL_PARAMETERS angstrom
6.877 0.000 0.000
3.439 5.956 0.000
3.439 1.985 8.408
ATOMIC_POSITIONS crystal
K 0.792 0.792 0.625
K 0.208 0.208 0.375
Tl 0.000 0.000 0.000
P 0.455 0.455 0.636
P 0.545 0.545 0.364
S 0.731 0.731 0.301
S 0.238 0.731 0.301
S 0.731 0.238 0.301
S 0.269 0.762 0.699
S 0.762 0.269 0.699
S 0.269 0.269 0.699
```



No. 3
An optimized crystal structure of KTlPS4. Source: the Alexandria database, functional PBE. Values from VASP.

Results
ΔE_f (raw)   -3.42 eV per formula unit
SG   Cmcm, No. 63

Cell and atoms, written as Quantum ESPRESSO input:
```
&SYSTEM
  ibrav = 0, nat = 14, ntyp = 4
/
ATOMIC_SPECIES
K 39.10 K.upf
Tl 204.38 Tl.upf
P 30.97 P.upf
S 32.06 S.upf
CELL_PARAMETERS angstrom
6.779 -0.317 0.000
-3.013 6.081 0.000
0.000 0.000 9.792
ATOMIC_POSITIONS crystal
K 0.808 0.192 0.250
K 0.192 0.808 0.750
Tl 0.500 0.500 0.500
Tl 0.500 0.500 0.000
P 0.152 0.848 0.250
P 0.848 0.152 0.750
S 0.197 0.298 0.750
S 0.702 0.803 0.750
S 0.755 0.245 0.924
S 0.755 0.245 0.576
S 0.245 0.755 0.076
S 0.245 0.755 0.424
S 0.803 0.702 0.250
S 0.298 0.197 0.250
```



No. 4
An optimized crystal structure of KTlPS3. Source: the Alexandria database, functional PBE. Values from VASP.

Results
ΔE_f (raw)   -3.89 eV per formula unit
SG   C2/m, No. 12

Cell and atoms, written as Quantum ESPRESSO input:
```
&SYSTEM
  ibrav = 0, nat = 12, ntyp = 4
/
ATOMIC_SPECIES
K 39.10 K.upf
Tl 204.38 Tl.upf
P 30.97 P.upf
S 32.06 S.upf
CELL_PARAMETERS angstrom
-0.820 0.342 -6.944
-6.636 -1.136 -1.919
-0.257 7.944 2.040
ATOMIC_POSITIONS crystal
K 0.655 0.655 0.920
K 0.345 0.345 0.080
Tl 0.263 0.737 0.500
Tl 0.737 0.263 0.500
P 0.962 0.962 0.857
P 0.038 0.038 0.143
S 0.110 0.110 0.757
S 0.081 0.650 0.797
S 0.650 0.081 0.797
S 0.350 0.919 0.203
S 0.919 0.350 0.203
S 0.890 0.890 0.243
```



No. 5
An optimized crystal structure of K2U2PS2. Source: the Alexandria database, functional PBE. Values from VASP.

Results
ΔE_f (raw)   -4.43 eV per formula unit
SG   I4/mmm, No. 139

Cell and atoms, written as Quantum ESPRESSO input:
```
&SYSTEM
  ibrav = 0, nat = 7, ntyp = 4
/
ATOMIC_SPECIES
K 39.10 K.upf
U 238.03 U.upf
P 30.97 P.upf
S 32.06 S.upf
CELL_PARAMETERS angstrom
-0.961 -2.509 -4.443
5.102 -0.393 -0.882
-1.933 -5.521 6.569
ATOMIC_POSITIONS crystal
K 0.199 0.199 0.399
K 0.801 0.801 0.601
U 0.000 0.500 0.000
U 0.500 0.000 0.000
P 0.000 0.000 0.000
S 0.398 0.398 0.797
S 0.602 0.602 0.203
```



No. 6
An optimized crystal structure of KUP2S8. Source: the Alexandria database, functional PBE. Values from VASP.

Results
ΔE_f (raw)   -7.20 eV per formula unit
SG   R-3, No. 148

Cell and atoms, written as Quantum ESPRESSO input:
```
&SYSTEM
  ibrav = 0, nat = 12, ntyp = 4
/
ATOMIC_SPECIES
K 39.10 K.upf
U 238.03 U.upf
P 30.97 P.upf
S 32.06 S.upf
CELL_PARAMETERS angstrom
6.160 0.000 0.000
3.080 5.335 0.000
3.080 1.778 9.731
ATOMIC_POSITIONS crystal
K 0.500 0.500 0.500
U 0.000 0.000 0.000
P 0.256 0.256 0.233
P 0.744 0.744 0.767
S 0.189 0.189 0.434
S 0.594 0.292 0.158
S 0.811 0.811 0.566
S 0.956 0.594 0.158
S 0.044 0.406 0.842
S 0.292 0.956 0.158
S 0.708 0.044 0.842
S 0.406 0.708 0.842
```



Q: Which of these has the highest ΔE_f (raw)?
A: KTlPS4



Repeat the third record exactly.
An optimized crystal structure of KTlPS4. Source: the Alexandria database, functional PBE. Values from VASP.

Results
ΔE_f (raw)   -3.42 eV per formula unit
SG   Cmcm, No. 63

Cell and atoms, written as Quantum ESPRESSO input:
```
&SYSTEM
  ibrav = 0, nat = 14, ntyp = 4
/
ATOMIC_SPECIES
K 39.10 K.upf
Tl 204.38 Tl.upf
P 30.97 P.upf
S 32.06 S.upf
CELL_PARAMETERS angstrom
6.779 -0.317 0.000
-3.013 6.081 0.000
0.000 0.000 9.792
ATOMIC_POSITIONS crystal
K 0.808 0.192 0.250
K 0.192 0.808 0.750
Tl 0.500 0.500 0.500
Tl 0.500 0.500 0.000
P 0.152 0.848 0.250
P 0.848 0.152 0.750
S 0.197 0.298 0.750
S 0.702 0.803 0.750
S 0.755 0.245 0.924
S 0.755 0.245 0.576
S 0.245 0.755 0.076
S 0.245 0.755 0.424
S 0.803 0.702 0.250
S 0.298 0.197 0.250
```



Q: Among the records above, which one has the highest ΔE_f (raw)?
A: KTlPS4